## ZrTiIn3 (PBE)

Data for a relaxed structure of ZrTiIn3.

abc: 5.7318 5.8511 7.8902
angles: 81.25 69.04 63.39
Closest atoms and distances in Å follow each position.
Fractional coordinates of all 10 atoms:
Zr: 0.0543 0.3509 0.2399  9 In 2.92-3.26, 2 Ti 3.09-3.10
Zr: 0.9457 0.6491 0.7601  9 In 2.92-3.26, 2 Ti 3.09-3.10
Ti: 0.2453 0.7356 0.9848  4 In 2.84-3.02, 2 Ti 3.04-3.08, 2 Zr 3.09-3.10
Ti: 0.7547 0.2644 0.0152  4 In 2.84-3.02, 2 Ti 3.04-3.08, 2 Zr 3.09-3.10
In: 0.0420 0.1195 0.6401  1 Ti 2.87, 2 Zr 3.00-3.13, 3 In 3.05-3.06
In: 0.4019 0.1754 0.8510  4 Ti 3.01-3.28, 3 Zr 3.03-3.19, 4 In 3.06-3.33
In: 0.4416 0.3776 0.3875  1 Ti 2.84, 3 In 2.85-3.05, 1 Zr 2.92
In: 0.5584 0.6224 0.6125  1 Ti 2.84, 3 In 2.85-3.05, 1 Zr 2.92
In: 0.5981 0.8246 0.1490  4 Ti 3.01-3.28, 3 Zr 3.03-3.19, 4 In 3.06-3.33
In: 0.9580 0.8805 0.3599  1 Ti 2.87, 2 Zr 3.00-3.13, 3 In 3.05-3.06

Energy of formation (eV per atom): -0.113
Theoretical density (g/cm³): 7.3
Total energy (Ry per atom): -0.3708
Distance to the lowest polymorph of the same formula (meV/atom): 0